Record 1
LiSi2Rh | GGA-PBE | relaxed

The calculation puts the offset from the most stable computed form at 0.989 kcal/mol of atoms. Its raw formation energy is -1.79 eV per formula unit.

The structure belongs to space group R3m (No. 160, hexagonal axes); the cell edges are 3.9954, 3.9954 and 12.7443 Å and the angles 90.00°, 90.00° and 120.00°. The inequivalent atoms are Li at (0.0000, 0.0000, 0.0000), Si at (0.0000, 0.0000, 0.5818), Si at (0.0000, 0.0000, 0.7851) and Rh at (0.0000, 0.0000, 0.1970).


Record 2
SmErNpO6 | GGA-PBE | relaxed

Its raw formation energy is -28.88 eV per formula unit.

The structure belongs to space group P-31c (No. 163); the cell edges are 5.7330, 5.7330 and 9.6581 Å and the angles 90.00°, 90.00° and 120.00°. The inequivalent atoms are Sm at (0.0000, 0.0000, 0.0000), Er at (0.3333, 0.6667, 0.2500), Np at (0.3333, 0.6667, 0.7500) and O at (0.0225, 0.3609, 0.6361).


Record 3
KTaTl2 | GGA-PBE | relaxed

The calculation puts the offset from the most stable computed form at 12.509 kcal/mol of atoms.

The structure belongs to space group I-42d (No. 122); the cell edges are 6.0727, 6.0727 and 17.6555 Å and the angles 90.00°, 90.00° and 90.00°. The inequivalent atoms are K at (0.0000, 0.0000, 0.0000), Ta at (0.0000, 0.0000, 0.5000) and Tl at (0.1130, 0.2500, 0.6250).


Total energy: -21.90; -80.86; -13.84 (eV per formula unit)